1.
A relaxed ZrPtSe2 crystal, computed with PBE.

Summary:
Excess energy over the best structure of this formula in the dataset, meV/atom: 369.2
Total energy, eV per cell: -47.677
ΔE_f (raw), eV/atom: -0.570

Unit cell a=3.853 b=3.853 c=10.041 alpha=90.00 beta=90.00 gamma=90.00
Space group I-4m2 (No. 119)
Inequivalent atoms, fractional coordinates:
Zr 0.000 0.000 0.000 (multiplicity 2)
Pt 0.000 0.500 0.750 (multiplicity 2)
Se 0.000 0.000 0.500 (multiplicity 2)
Se 0.000 0.500 0.250 (multiplicity 2)

=====

2.
A relaxed ZrPtSe crystal, computed with PBE.

Summary:
Excess energy over the best structure of this formula in the dataset, meV/atom: 83.2
Total energy, eV per cell: -20.622
ΔE_f (raw), eV/atom: -0.849

Unit cell a=3.7416 b=3.7416 c=5.4347 alpha=90.00 beta=90.00 gamma=120.00
Space group P3m1 (No. 156)
Inequivalent atoms, fractional coordinates:
Zr 0.0000 0.0000 0.0000 (multiplicity 1)
Pt 0.6667 0.3333 0.2883 (multiplicity 1)
Se 0.3333 0.6667 0.6756 (multiplicity 1)